Entry 1:
A geometry-optimized K3Mg2SnCl9 structure, computed with PBE.

Calculated values
Space-group type: P-3m1 (164)
Uncorrected formation energy (meV per atom): -1700
DOS(E_F) (states/eV/f.u.): 0.0
Theoretical density (kg/m3): 2351
Energy (eV/cell): -52.6

a b c (Å): 7.281 7.281 9.287
angles (deg): 90.00 90.00 120.00
Atoms (fractional coordinates):
K 0.000 0.000 0.000
K 0.333 0.667 0.710
K 0.667 0.333 0.290
Mg 0.333 0.667 0.157
Mg 0.667 0.333 0.843
Sn 0.000 0.000 0.500
Cl 0.000 0.500 0.000
Cl 0.172 0.344 0.310
Cl 0.172 0.828 0.310
Cl 0.344 0.172 0.690
Cl 0.500 0.000 0.000
Cl 0.500 0.500 0.000
Cl 0.656 0.828 0.310
Cl 0.828 0.172 0.690
Cl 0.828 0.656 0.690

---

Entry 2:
A geometry-optimized K2SrMgCl6 structure, computed with PBE.

Calculated values
Space-group type: P2_1/c (14)
Uncorrected formation energy (meV per atom): -2083
DOS(E_F) (states/eV/f.u.): 0.0
Theoretical density (kg/m3): 2324
Energy (eV/cell): -74.8

a b c (Å): 7.286 7.559 12.694
angles (deg): 90.00 124.58 90.00
Atoms (fractional coordinates):
K 0.229 0.062 0.249
K 0.229 0.438 0.749
K 0.771 0.562 0.251
K 0.771 0.938 0.751
Sr 0.500 0.000 0.000
Sr 0.500 0.500 0.500
Mg 0.000 0.000 0.500
Mg 0.000 0.500 0.000
Cl 0.132 0.221 0.948
Cl 0.132 0.279 0.448
Cl 0.234 0.689 0.953
Cl 0.234 0.811 0.453
Cl 0.327 0.027 0.732
Cl 0.327 0.473 0.232
Cl 0.673 0.527 0.768
Cl 0.673 0.973 0.268
Cl 0.766 0.189 0.547
Cl 0.766 0.311 0.047
Cl 0.868 0.721 0.552
Cl 0.868 0.779 0.052

---

Entry 3:
A geometry-optimized K3SrMg2Cl9 structure, computed with PBE.

Calculated values
Space-group type: P-3m1 (164)
Uncorrected formation energy (meV per atom): -1991
DOS(E_F) (states/eV/f.u.): 0.0
Theoretical density (kg/m3): 2192
Energy (eV/cell): -54.7

a b c (Å): 7.289 7.289 9.427
angles (deg): 90.00 90.00 120.00
Atoms (fractional coordinates):
K 0.000 0.000 0.000
K 0.333 0.667 0.727
K 0.667 0.333 0.273
Sr 0.000 0.000 0.500
Mg 0.333 0.667 0.160
Mg 0.667 0.333 0.840
Cl 0.000 0.500 0.000
Cl 0.172 0.344 0.306
Cl 0.172 0.828 0.306
Cl 0.344 0.172 0.694
Cl 0.500 0.000 0.000
Cl 0.500 0.500 0.000
Cl 0.656 0.828 0.306
Cl 0.828 0.172 0.694
Cl 0.828 0.656 0.694

---

Entry 4:
A geometry-optimized KTbMgCl6 structure, computed with PBE.

Calculated values
Space-group type: P-31c (163)
Uncorrected formation energy (meV per atom): -2100
DOS(E_F) (states/eV/f.u.): 0.0
Theoretical density (kg/m3): 2614
Energy (eV/cell): -74.6

a b c (Å): 6.798 6.798 13.809
angles (deg): 90.00 90.00 120.00
Atoms (fractional coordinates):
K 0.000 0.000 0.000
K 0.000 0.000 0.500
Tb 0.333 0.667 0.250
Tb 0.667 0.333 0.750
Mg 0.333 0.667 0.750
Mg 0.667 0.333 0.250
Cl 0.015 0.380 0.643
Cl 0.015 0.635 0.857
Cl 0.365 0.380 0.857
Cl 0.365 0.985 0.643
Cl 0.380 0.015 0.143
Cl 0.380 0.365 0.357
Cl 0.620 0.635 0.643
Cl 0.620 0.985 0.857
Cl 0.635 0.015 0.357
Cl 0.635 0.620 0.143
Cl 0.985 0.365 0.143
Cl 0.985 0.620 0.357

---

Entry 5:
A geometry-optimized KTbMg2Cl8 structure, computed with PBE.

Calculated values
Space-group type: C2/m (12)
Uncorrected formation energy (meV per atom): -1973
DOS(E_F) (states/eV/f.u.): 0.0
Theoretical density (kg/m3): 2475
Energy (eV/cell): -47.4

a b c (Å): 6.476 6.476 8.859
angles (deg): 100.12 100.12 79.67
Atoms (fractional coordinates):
K 0.000 0.000 0.000
Tb 0.000 0.000 0.500
Mg 0.455 0.455 0.788
Mg 0.545 0.545 0.212
Cl 0.204 0.757 0.277
Cl 0.243 0.796 0.723
Cl 0.272 0.272 0.547
Cl 0.331 0.331 0.992
Cl 0.669 0.669 0.008
Cl 0.728 0.728 0.453
Cl 0.757 0.204 0.277
Cl 0.796 0.243 0.723

---

Entry 6:
A geometry-optimized KMgTeCl6 structure, computed with PBE.

Calculated values
Space-group type: P1 (1)
Uncorrected formation energy (meV per atom): -1226
DOS(E_F) (states/eV/f.u.): 0.1
Theoretical density (kg/m3): 2320
Energy (eV/cell): -28.0

a b c (Å): 6.748 6.775 6.971
angles (deg): 91.86 92.08 114.66
Atoms (fractional coordinates):
K 0.000 0.000 0.000
Mg 0.679 0.319 0.498
Te 0.332 0.668 0.500
Cl 0.370 0.362 0.295
Cl 0.374 0.016 0.694
Cl 0.640 0.628 0.704
Cl 0.655 0.043 0.263
Cl 0.958 0.340 0.732
Cl 0.984 0.625 0.304

---

Entry 7:
A geometry-optimized KMgTiCl6 structure, computed with PBE.

Calculated values
Space-group type: P-31c (163)
Uncorrected formation energy (meV per atom): -1770
DOS(E_F) (states/eV/f.u.): 7.3
Theoretical density (kg/m3): 2114
Energy (eV/cell): -75.2

a b c (Å): 6.494 6.494 13.933
angles (deg): 90.00 90.00 120.00
Atoms (fractional coordinates):
K 0.000 0.000 0.000
K 0.000 0.000 0.500
Mg 0.333 0.667 0.250
Mg 0.667 0.333 0.750
Ti 0.333 0.667 0.750
Ti 0.667 0.333 0.250
Cl 0.009 0.379 0.649
Cl 0.009 0.630 0.851
Cl 0.370 0.379 0.851
Cl 0.370 0.991 0.649
Cl 0.379 0.009 0.149
Cl 0.379 0.370 0.351
Cl 0.621 0.630 0.649
Cl 0.621 0.991 0.851
Cl 0.630 0.009 0.351
Cl 0.630 0.621 0.149
Cl 0.991 0.370 0.149
Cl 0.991 0.621 0.351

---

Entry 8:
A geometry-optimized K2MgTiCl structure, computed with PBE.

Calculated values
Space-group type: P4/mmm (123)
Uncorrected formation energy (meV per atom): 49
DOS(E_F) (states/eV/f.u.): 6.8
Theoretical density (kg/m3): 1673
Energy (eV/cell): -13.3

a b c (Å): 6.184 6.184 4.823
angles (deg): 90.00 90.00 90.00
Atoms (fractional coordinates):
K 0.000 0.500 0.000
K 0.500 0.000 0.000
Mg 0.000 0.000 0.500
Ti 0.500 0.500 0.500
Cl 0.500 0.500 0.000